U3Tl4NiTe8 | PBE | optimized geometry

For the total magnetization, the calculation gives 6.0 μB/f.u. For the energy relative to the elements, uncorrected, the calculation gives -0.41 eV/atom.

It has space group C2/m (No. 12), with a = 14.931 Å, b = 8.616 Å, c = 9.715 Å, α = 90.00°, β = 120.85° and γ = 90.00°. The distinct sites, in fractional coordinates, are U at (0.000, 0.000, 0.000), U at (0.250, 0.250, 0.000), Tl at (0.000, 0.000, 0.500), Tl at (0.000, 0.500, 0.500), Tl at (0.250, 0.250, 0.500), Ni at (0.000, 0.500, 0.000), Te at (0.011, 0.265, 0.798), Te at (0.225, 0.500, 0.203) and Te at (0.240, 0.000, 0.220).